A relaxed structure of K2BiI4. Source: the Alexandria database, functional GGA-PBE.

Output
Theoretical density = 3.7 g/cm³
Polymorph energy (0 for the lowest one) = 0.027 eV per atom
Formation energy without anion corrections = -891 meV per atom
E_tot = -2.64 eV/atom
D(E_F) = 2.75 states/eV/cell

```
7
Lattice="-3.193 3.193 8.827 3.193 -3.193 8.827 3.193 3.193 -8.827" Properties=species:S:1:pos:R:3 pbc="T T T"
K 0.000 0.000 2.272
K 0.000 0.000 15.381
Bi 0.000 0.000 8.827
I 3.193 0.000 0.000
I 0.000 0.000 5.725
I 0.000 3.193 0.000
I 0.000 0.000 11.928
```